Record 1
5
Lattice="-2.230 5.581 0.971 -5.660 -2.238 -0.139 0.221 -0.918 5.781" Properties=species:S:1:pos:R:3 comment="SrAs2PBr | Alexandria via LeMat-Bulk | GGA-PBE | relaxed" dos_at_fermi_per_ev_fu=5.6 vol_a3_per_cell=217 polymorph_energy_ev_per_atom=1.219 e_form_raw_ev_per_atom=0.947 sg="P4/mmm (123)" pbc="T T T"
As -1.115 2.791 0.486
As -2.830 -1.119 -0.070
Sr 0.000 0.000 0.000
P -3.835 1.213 3.307
Br 0.110 -0.459 2.891

---

Record 2
4
Lattice="-3.241 2.378 2.559 -3.346 -0.986 -3.321 -0.743 -2.671 1.541" Properties=species:S:1:pos:R:3 comment="SrMn2Tc | Alexandria via LeMat-Bulk | GGA-PBE | relaxed" dos_at_fermi_per_ev_fu=6.1 vol_a3_per_cell=73 polymorph_energy_ev_per_atom=0.533 formation_enthalpy_0k_kj_per_mol_atoms=90.4 sg="Pmmm (47)" pbc="T T T"
Tc -2.044 -1.829 -0.890
Mn 0.000 0.000 0.000
Mn -3.293 0.696 -0.381
Sr -1.992 -0.147 2.050

---

Record 3
5
Lattice="-4.964 0.900 -1.372 1.252 -0.749 -5.020 -1.061 -5.095 0.496" Properties=species:S:1:pos:R:3 comment="Hg3RuPb | Alexandria via LeMat-Bulk | GGA-PBE | relaxed" dos_at_fermi_per_ev_fu=3.9 vol_a3_per_cell=143 polymorph_energy_ev_per_atom=0.000 formation_enthalpy_0k_kj_per_mol_atoms=51.2 sg="Pm-3m (221)" pbc="T T T"
Hg -2.482 0.450 -0.686
Ru 0.000 0.000 0.000
Hg -0.530 -2.548 0.248
Hg 0.626 -0.374 -2.510
Pb -2.386 -2.472 -2.949

---

Please write out number 3 again, unchanged.
5
Lattice="-4.964 0.900 -1.372 1.252 -0.749 -5.020 -1.061 -5.095 0.496" Properties=species:S:1:pos:R:3 comment="Hg3RuPb | Alexandria via LeMat-Bulk | GGA-PBE | relaxed" dos_at_fermi_per_ev_fu=3.9 vol_a3_per_cell=143 polymorph_energy_ev_per_atom=0.000 formation_enthalpy_0k_kj_per_mol_atoms=51.2 sg="Pm-3m (221)" pbc="T T T"
Hg -2.482 0.450 -0.686
Ru 0.000 0.000 0.000
Hg -0.530 -2.548 0.248
Hg 0.626 -0.374 -2.510
Pb -2.386 -2.472 -2.949